one | ## ZrSc4Os (PBE)

Data for crystalline ZrSc4Os at its relaxed geometry.

Lattice parameters (Å, degrees): 7.912 7.912 7.912 90.00 90.00 90.00
Space group F-43m (No. 216)
One atom of each set of equivalent atoms:
Zr  0.000  0.000  0.000 x4
Sc  0.124  0.124  0.376 x16
Os  0.250  0.250  0.750 x4

Values from the calculation:
mass density: 6.19 g/cm³

=====

two | ## ZrSc4Os (PBE)

Data for crystalline ZrSc4Os at its relaxed geometry.

Lattice parameters (Å, degrees): 3.243 3.243 12.570 90.00 90.00 90.00
Space group P4/mmm (No. 123)
One atom of each set of equivalent atoms:
Zr  0.000  0.000  0.000 x1
Sc  0.000  0.000  0.378 x2
Sc  0.500  0.500  0.172 x2
Os  0.500  0.500  0.500 x1

Values from the calculation:
mass density: 5.80 g/cm³

=====

Energies relative to the most stable structure, in meV per atom: one 661; two 0.